Crystalline NaPuZnAu at its relaxed geometry, computed with PBE.

Values from the calculation:
Crystal system: cubic
E_tot in eV per atom: -5.14
V in A^3/atom: 22.903
Formation energy in eV/atom: -0.09

```
data_NaPuZnAu
_cell_length_a 7.156
_cell_length_b 7.156
_cell_length_c 7.156
_cell_angle_alpha 90.00
_cell_angle_beta 90.00
_cell_angle_gamma 90.00
_symmetry_space_group_name_H-M 'F -4 3 m'
_symmetry_Int_Tables_number 216
_symmetry_space_group_name_Hall 'F -4 2 3'
loop_
_atom_site_label
_atom_site_fract_x
_atom_site_fract_y
_atom_site_fract_z
_atom_site_occupancy
Na1 0.000 0.000 0.000 1
Pu1 0.000 0.000 0.500 1
Zn1 0.250 0.250 0.250 1
Au1 0.250 0.250 0.750 1
```